# TlCu2NiF8

Crystalline TlCu2NiF8 at its relaxed geometry (PBE+U, Alexandria).

Cell: 5.2761 5.2761 6.6351 Å, 113.43 113.43 90.00°
With the nearest neighbours (Å) after each atom.
Element x y z (fractional)
1 Cu 0.2500 0.7500 0.5000  4 F 1.96
2 Cu 0.5000 0.5000 0.0000  4 F 2.15
3 F 0.9017 0.4738 0.3396  1 Cu 1.96
4 F 0.7261 0.1973 0.8511  1 Ni 1.96, 1 Cu 2.15
5 F 0.4379 0.8659 0.3396  1 Cu 1.96
6 F 0.5262 0.5621 0.6604  1 Cu 1.96
7 F 0.3462 0.2739 0.1489  1 Ni 1.96, 1 Cu 2.15
8 F 0.8027 0.8750 0.1489  1 Ni 1.96, 1 Cu 2.15
9 F 0.1341 0.0983 0.6604  1 Cu 1.96
10 F 0.1250 0.6538 0.8511  1 Ni 1.96, 1 Cu 2.15
11 Tl 0.7500 0.2500 0.5000  4 F 2.20
12 Ni 0.0000 0.0000 0.0000  4 F 1.96

VASP energy: -3.87 eV/atom
density: 5.89 g/cm3
volume: 152.7 Å³/cell